Below is a relaxed structure of InPtRh, with properties calculated at the GGA-PBE level.

Properties
Calculated density (Mg/m³): 13.67
Crystal system: orthorhombic
Total DFT energy (no corrections) (eV/atom): -5.659
Relative energy among the computed polymorphs (eV per atom): 0.000
ΔH_f (0 K) (meV per atom): -282

Cell: 4.5847 7.9381 5.5106 Å, 90.00 90.00 90.00°
With the nearest neighbours (Å) after each atom.
Space group Cmcm (No. 63)
One atom of each set of equivalent atoms:
In 0.0000 0.1662 0.2500  5 Rh 2.65-2.76
Pt 0.0000 0.5000 0.0000  2 Pt 2.76, 6 Rh 2.98-2.99, 6 In 2.98-2.99
Rh 0.0000 0.1674 0.7500  5 In 2.65-2.76

---

Below is a relaxed structure of InPt8Rh4, with properties calculated at the GGA-PBE level.

Properties
Calculated density (Mg/m³): 17.21
Crystal system: monoclinic
Total DFT energy (no corrections) (eV/atom): -6.288
ΔH_f (0 K) (meV per atom): -98

Cell: 8.8521 3.9430 11.5796 Å, 90.00 94.60 90.00°
With the nearest neighbours (Å) after each atom.
Space group C2/m (No. 12)
One atom of each set of equivalent atoms:
In 0.0000 0.0000 0.0000  8 Pt 2.81-2.83, 4 Rh 2.85
Pt 0.0422 0.5000 0.3879  6 Rh 2.74-2.81, 6 Pt 2.76-2.80
Pt 0.0732 0.0000 0.7665  4 Rh 2.78-2.82, 7 Pt 2.79-2.82, 1 In 2.83
Pt 0.1923 0.5000 0.9199  4 Rh 2.79-2.91, 5 Pt 2.80-2.84, 3 In 2.81
Pt 0.2362 0.0000 0.3120  5 Rh 2.75-2.79, 7 Pt 2.78-2.82
Rh 0.1183 0.5000 0.1603  10 Pt 2.77-2.91, 2 In 2.85
Rh 0.1535 0.0000 0.5360  9 Pt 2.74-2.82, 3 Rh 2.78

---

Below is a relaxed structure of InPtRh4, with properties calculated at the GGA-PBE level.

Properties
Calculated density (Mg/m³): 12.36
Crystal system: cubic
Total DFT energy (no corrections) (eV/atom): -6.194
ΔH_f (0 K) (meV per atom): 170

Cell: 7.2919 7.2919 7.2919 Å, 90.00 90.00 90.00°
With the nearest neighbours (Å) after each atom.
Space group F-43m (No. 216)
One atom of each set of equivalent atoms:
In 0.0000 0.0000 0.0000  12 Rh 3.02, 4 Pt 3.16
Pt 0.2500 0.2500 0.2500  12 Rh 3.02, 4 In 3.16
Rh 0.1247 0.1247 0.6247  6 Rh 2.57-2.59

---

Below is a relaxed structure of InPtRh, with properties calculated at the GGA-PBE level.

Properties
Calculated density (Mg/m³): 11.63
Crystal system: monoclinic
Total DFT energy (no corrections) (eV/atom): -5.468
Relative energy among the computed polymorphs (eV per atom): 0.191
ΔH_f (0 K) (meV per atom): -91

Cell: 4.5520 2.8635 4.5669 Å, 90.00 97.94 90.00°
With the nearest neighbours (Å) after each atom.
Space group P2/m (No. 10)
One atom of each set of equivalent atoms:
In 0.0000 0.0000 0.0000  4 Rh 2.70, 2 In 2.86, 2 Pt 2.99
Pt 0.5000 0.0000 0.5000  4 Rh 2.69, 2 Pt 2.86, 2 In 2.99
Rh 0.0000 0.5000 0.5000  4 Pt 2.69, 4 In 2.70, 2 Rh 2.86

---

Below is a relaxed structure of InPtRh, with properties calculated at the GGA-PBE level.

Properties
Calculated density (Mg/m³): 11.50
Crystal system: cubic
Total DFT energy (no corrections) (eV/atom): -5.405
Relative energy among the computed polymorphs (eV per atom): 0.254
ΔH_f (0 K) (meV per atom): -28

Cell: 6.2017 6.2017 6.2017 Å, 90.00 90.00 90.00°
With the nearest neighbours (Å) after each atom.
Space group F-43m (No. 216)
One atom of each set of equivalent atoms:
In 0.0000 0.0000 0.0000  4 Pt 2.69
Pt 0.2500 0.2500 0.2500  4 In 2.69, 4 Rh 2.69
Rh 0.0000 0.0000 0.5000  4 Pt 2.69

---

Below is a relaxed structure of InPt6Rh, with properties calculated at the GGA-PBE level.

Properties
Calculated density (Mg/m³): 18.03
Crystal system: monoclinic
Total DFT energy (no corrections) (eV/atom): -5.948
ΔH_f (0 K) (meV per atom): -156

Cell: 8.9483 4.0048 7.9895 Å, 90.00 116.72 90.00°
With the nearest neighbours (Å) after each atom.
Space group C2/m (No. 12)
One atom of each set of equivalent atoms:
In 0.0000 0.0000 0.0000  12 Pt 2.84-2.86
Pt 0.0011 0.5000 0.7456  8 Pt 2.77-2.89, 2 Rh 2.80, 2 In 2.86
Pt 0.2472 0.0000 0.8688  1 Rh 2.78, 8 Pt 2.81-2.89, 3 In 2.84
Pt 0.2485 0.5000 0.6209  8 Pt 2.77-2.84, 3 Rh 2.82, 1 In 2.85
Rh 0.0000 0.0000 0.5000  12 Pt 2.78-2.82

---

Below is a relaxed structure of InPtRh, with properties calculated at the GGA-PBE level.

Properties
Calculated density (Mg/m³): 13.56
Crystal system: trigonal
Total DFT energy (no corrections) (eV/atom): -5.508
Relative energy among the computed polymorphs (eV per atom): 0.151
ΔH_f (0 K) (meV per atom): -131

Cell: 4.4931 4.4931 2.8917 Å, 90.00 90.00 120.00°
With the nearest neighbours (Å) after each atom.
Space group P3m1 (No. 156)
One atom of each set of equivalent atoms:
In 0.0000 0.0000 0.0000  3 Pt 2.71, 3 Rh 2.73, 2 In 2.89
Pt 0.6667 0.3333 0.2676  3 In 2.71, 3 Rh 2.88, 2 Pt 2.89
Rh 0.3333 0.6667 0.7036  3 In 2.73, 3 Pt 2.88, 2 Rh 2.89

---

Below is a relaxed structure of InPt3Rh3, with properties calculated at the GGA-PBE level.

Properties
Calculated density (Mg/m³): 15.34
Crystal system: trigonal
Total DFT energy (no corrections) (eV/atom): -6.273
ΔH_f (0 K) (meV per atom): -142

Cell: 7.4032 7.4032 13.8066 Å, 90.00 90.00 120.00°
With the nearest neighbours (Å) after each atom.
Space group R-3 (No. 148, hexagonal axes)
One atom of each set of equivalent atoms:
In 0.0000 0.0000 0.2474  6 Pt 2.79-2.88, 6 Rh 2.82-2.83
Pt 0.0434 0.8027 0.4190  5 Rh 2.76-2.84, 5 Pt 2.78-2.88, 2 In 2.79-2.88
Rh 0.0457 0.8102 0.9216  5 Rh 2.69-2.94, 5 Pt 2.76-2.84, 2 In 2.82-2.83

---

Below is a relaxed structure of In2Pt5Rh4, with properties calculated at the GGA-PBE level.

Properties
Calculated density (Mg/m³): 14.50
Crystal system: monoclinic
Total DFT energy (no corrections) (eV/atom): -5.921
ΔH_f (0 K) (meV per atom): -4

Cell: 11.9035 5.2666 6.2180 Å, 90.00 108.27 90.00°
With the nearest neighbours (Å) after each atom.
Space group C2/m (No. 12)
One atom of each set of equivalent atoms:
In 0.1694 0.0000 0.2856  4 Rh 2.64-2.86, 3 Pt 2.74
Pt 0.0000 0.0000 0.5000  4 Pt 2.66, 2 In 2.74, 6 Rh 2.92
Pt 0.0801 0.2580 0.8852  4 Pt 2.55-2.72, 2 Rh 2.72-2.76, 1 In 2.74
Rh 0.1030 0.5000 0.4846  2 Rh 2.52-2.69, 1 In 2.64
Rh 0.2502 0.0000 0.7680  1 Rh 2.69, 5 Pt 2.72-2.92, 3 In 2.85-2.86

---

Below is a relaxed structure of In2Pt9Rh, with properties calculated at the GGA-PBE level.

Properties
Calculated density (Mg/m³): 17.86
Crystal system: tetragonal
Total DFT energy (no corrections) (eV/atom): -5.838
ΔH_f (0 K) (meV per atom): -239

Cell: 4.0117 4.0117 12.0620 Å, 90.00 90.00 90.00°
With the nearest neighbours (Å) after each atom.
Space group P4/mmm (No. 123)
One atom of each set of equivalent atoms:
In 0.0000 0.0000 0.1691  12 Pt 2.84-2.87
Pt 0.0000 0.5000 0.0000  8 Pt 2.84-2.87, 4 In 2.86
Pt 0.0000 0.5000 0.3393  2 Rh 2.79, 8 Pt 2.79-2.86, 2 In 2.87
Pt 0.5000 0.5000 0.1697  4 In 2.84, 8 Pt 2.86-2.87
Pt 0.5000 0.5000 0.5000  8 Pt 2.79, 4 Rh 2.84
Rh 0.0000 0.0000 0.5000  12 Pt 2.79-2.84

---

Below is a relaxed structure of In4PtRh3, with properties calculated at the GGA-PBE level.

Properties
Calculated density (Mg/m³): 11.59
Crystal system: tetragonal
Total DFT energy (no corrections) (eV/atom): -5.282
ΔH_f (0 K) (meV per atom): -401

Cell: 4.6969 4.6969 12.5064 Å, 90.00 90.00 90.00°
With the nearest neighbours (Å) after each atom.
Space group I4/mmm (No. 139)
One atom of each set of equivalent atoms:
In 0.0000 0.5000 0.1260  6 Rh 2.80-2.83, 2 Pt 2.83, 1 In 3.10
Pt 0.0000 0.0000 0.0000  8 In 2.83, 2 Rh 3.14
Rh 0.0000 0.0000 0.2514  8 In 2.80-2.82, 1 Rh 3.11
Rh 0.0000 0.0000 0.5000  8 In 2.83, 2 Rh 3.11

---

Below is a relaxed structure of InPt3Rh, with properties calculated at the GGA-PBE level.

Properties
Calculated density (Mg/m³): 11.69
Crystal system: cubic
Total DFT energy (no corrections) (eV/atom): -4.649
Relative energy among the computed polymorphs (eV per atom): 1.230
ΔH_f (0 K) (meV per atom): 994

Cell: 4.8492 4.8492 4.8492 Å, 90.00 90.00 90.00°
With the nearest neighbours (Å) after each atom.
Space group Pm-3m (No. 221)
One atom of each set of equivalent atoms:
In 0.0000 0.0000 0.0000  12 Pt 3.43
Pt 0.0000 0.5000 0.5000  2 Rh 2.42
Rh 0.5000 0.5000 0.5000  6 Pt 2.42

---

Question: Which of these has the highest calculated density?
Answer: InPt6Rh

---

Question: Among the records above, which one has the highest total DFT energy (no corrections)?
Answer: InPt3Rh